Crystalline Mg2SiHg at its relaxed geometry, computed with PBE-GGA.

It has space group Pmm2 (No. 25), with a = 3.354 Å, b = 4.232 Å, c = 5.772 Å, α = 90.00°, β = 90.00° and γ = 90.00°. Symmetry generates all atoms from Mg at (0.000, 0.000, 0.000), Mg at (0.500, 0.500, 0.313), Si at (0.000, 0.000, 0.490) and Hg at (0.500, 0.500, 0.805).

Its raw formation energy is 0.05 eV/atom. As for the crystal system: orthorhombic. Its raw total energy is -2.18 eV/atom. The calculation puts the calculated volume at 20.48 Å³/atom.